# 1
Y5Tm4Tl: relaxed, PBE.

```
10
Lattice="6.149 0.000 0.000 3.075 7.266 0.000 3.075 0.000 7.266" Properties=species:S:1:pos:R:3 pbc="T T T"
Tm 5.917 4.346 2.218
Tm 8.992 5.048 4.346
Y 5.933 6.633 4.526
Y 3.898 0.000 0.000
Tl 1.032 0.000 0.000
Y 9.007 2.740 6.633
Tm 2.843 2.218 2.920
Y 2.858 4.526 0.633
Y 5.933 0.633 2.740
Tm 5.917 2.920 5.048
```

D(E_F): 14.20 states/eV/cell
Calculated formation energy: 0.220 eV/atom
Theoretical density: 6.8 g/cm3
E_tot: -5.04 eV per atom
Space group: I4 (79)

---

# 2
Y6Tm12Tl: relaxed, PBE.

```
19
Lattice="8.317 0.671 0.804 -0.598 8.322 0.804 -0.598 -0.696 8.332" Properties=species:S:1:pos:R:3 pbc="T T T"
Tm 4.298 1.920 4.464
Tm 5.875 4.716 4.675
Tm 3.771 3.434 7.253
Tm 5.742 5.184 9.398
Y 5.587 2.558 1.544
Tm 7.354 6.937 6.780
Y 1.681 0.463 6.091
Tm 3.351 4.862 2.686
Y 1.534 5.739 8.395
Tm 4.254 8.092 8.037
Y 6.918 2.613 7.147
Tm 2.867 0.204 1.902
Tl 0.000 0.000 0.000
Tm 2.823 6.377 5.475
Y 5.440 7.834 3.848
Tm 1.379 3.112 0.541
Tm -0.233 1.359 3.159
Y 0.203 5.683 2.792
Tm 1.246 3.581 5.264
```

D(E_F): 27.82 states/eV/cell
Calculated formation energy: 0.102 eV/atom
Theoretical density: 7.8 g/cm3
E_tot: -4.89 eV per atom
Space group: R-3 (148)